Compound: Ca2OsW
Source: Alexandria
Functional: PBE-GGA
Structure: optimized geometry

```
Ca2OsW
1.0
-1.1330 3.6776 3.2839
-3.8054 -0.3773 -0.8903
-0.4023 -2.6696 2.8508
Ca Os W
2 1 1
Direct
0.0000 0.0000 0.0000
0.0000 0.5000 0.5000
0.5000 0.5000 0.0000
0.5000 0.0000 0.5000
```

uncorrected energy: -6.26 eV per atom
total magnetic moment: 0.000 Bohr magnetons per cell
calculated formation energy: 0.78 eV/atom